Entry 1:
DFT (GGA-PBEsol) results for a relaxed LaAsRuBr2 crystal.

Geometry as POSCAR:
```
LaAsRuBr2
1.0
5.0279 0.0000 0.0000
0.0000 5.0279 0.0000
0.0000 0.0000 5.9590
Br Ru As La
2 1 1 1
Direct
0.0000 0.5000 0.0000
0.5000 0.0000 0.0000
0.5000 0.5000 0.5000
0.0000 0.0000 0.0000
0.0000 0.0000 0.5000
```

Properties
VASP energy (eV/atom): -4.1562
Magnetic moment (Bohr magnetons per cell): 2.46
Polymorph energy (0 for the lowest one) (eV per atom): 0.800
DOS at the Fermi energy (states/eV/f.u.): 6.384
Uncorrected formation energy (eV per atom): 0.717



Entry 2:
DFT (GGA-PBEsol) results for a relaxed LaTaAsBr2 crystal.

Geometry as POSCAR:
```
LaTaAsBr2
1.0
5.5117 0.0000 0.0000
0.0000 5.5117 0.0000
0.0000 0.0000 5.9073
La Br Ta As
1 2 1 1
Direct
0.0000 0.0000 0.0000
0.5000 0.0000 0.0000
0.0000 0.5000 0.0000
0.5000 0.5000 0.5000
0.0000 0.0000 0.5000
```

Properties
VASP energy (eV/atom): -4.7519
Magnetic moment (Bohr magnetons per cell): 3.04
Polymorph energy (0 for the lowest one) (eV per atom): 0.960
DOS at the Fermi energy (states/eV/f.u.): 9.858
Uncorrected formation energy (eV per atom): 0.597



Entry 3:
DFT (GGA-PBEsol) results for a relaxed LaTaAsBr2 crystal.

Geometry as POSCAR:
```
LaTaAsBr2
1.0
-3.8230 1.1806 2.9941
-2.0249 -4.4959 -0.8127
2.5242 -1.8515 3.9530
Br La Ta As
2 1 1 1
Direct
0.0000 0.5000 0.0000
0.5000 0.0000 0.0000
0.5000 0.5000 0.5000
0.0000 0.0000 0.0000
0.0000 0.0000 0.5000
```

Properties
VASP energy (eV/atom): -5.7118
Magnetic moment (Bohr magnetons per cell): 0.01
Polymorph energy (0 for the lowest one) (eV per atom): 0.000
DOS at the Fermi energy (states/eV/f.u.): 4.157
Uncorrected formation energy (eV per atom): -0.363